Here is PrHoSbI2 after structural relaxation from OQMD via LeMat-Bulk. Energies are from PBE.

Cell: 4.403 4.403 11.380 Å, 90.00 90.00 120.00°
Fractional positions:
Pr  0.000  0.000  0.000
Ho  0.667  0.333  0.696
Sb  0.333  0.667  0.838
I  0.000  0.000  0.529
I  0.667  0.333  0.180

Calculated values
Its total energy is -4.603 eV per atom.